1.
VASP calculation (PBE) on a relaxed structure of TlSn2Se2.

Cell: 4.4649 4.4649 7.9914 Å, 73.78 73.78 90.00°
Fractional coordinates of all 5 atoms:
Sn (0.7500, 0.2500, 0.5000)
Tl (0.0000, 0.0000, 0.0000)
Se (0.5907, 0.5907, 0.8186)
Sn (0.2500, 0.7500, 0.5000)
Se (0.4093, 0.4093, 0.1814)

- E above lowest polymorph (meV/atom) = 131
- size of the total moment (μB/f.u.) = 0.000
- space group = I4/mmm (139)
- E_form (uncorrected) (eV/atom) = -0.088

2.
VASP calculation (PBE) on a relaxed structure of Zn4CuRh3.

Cell: 4.2595 4.2595 6.7354 Å, 108.42 108.43 90.00°
Fractional coordinates of all 8 atoms:
Zn (0.1252, 0.1252, 0.2504)
Zn (0.6252, 0.6252, 0.2504)
Rh (0.7489, 0.2489, 0.4978)
Rh (0.0000, 0.5000, 0.0000)
Cu (0.5000, 0.0000, 0.0000)
Zn (0.3748, 0.3748, 0.7496)
Zn (0.8748, 0.8748, 0.7496)
Rh (0.2511, 0.7511, 0.5022)

- formation energy from the elements (meV/atom) = -369.6
- size of the total moment (μB/f.u.) = 0.000
- space group = I4/mmm (139)

What did we get for density of states at the Fermi level? Answer: 0.4565; 0.2946 states/eV/atom, in the order shown.
What did we get for V? Answer: 29.3; 13.7 Å³/atom, in the order shown.